DFT (SCAN) results for a crystal of Cs3RbCl relaxed with PBEsol.

a = 7.0703 Å, b = 7.0703 Å, c = 7.0703 Å
α = 90.00°, β = 90.00°, γ = 90.00°
With the nearest neighbours (Å) after each atom.
Atoms (fractional coordinates):
Cs: 0.0000 0.5000 0.0000  2 Cl 3.54
Cs: 0.5000 0.0000 0.0000  2 Cl 3.54
Cl: 0.0000 0.0000 0.0000  6 Cs 3.54
Rb: 0.5000 0.5000 0.5000  12 Cs 5.00
Cs: 0.0000 0.0000 0.5000  2 Cl 3.54

Summary:
As for the spin magnetization: 0.27 μB per formula unit. For the uncorrected formation energy, the calculation gives -834.8 meV per atom. The value obtained for the density of states at the Fermi level is 0.614 states/eV/atom. The calculation puts the density at 2.44 g/cm³. The value obtained for the raw total energy is -146.32 eV/f.u.